First-principles (PBE+U) data for PuMnAsO6 after structural relaxation, as listed in the Alexandria database.

Computed properties:
The calculation puts the total energy at -7.99 eV per atom.

Cell: 5.4319 5.4319 9.1433 Å, 90.00 90.00 120.00°
Closest atoms and distances in Å follow each position.
Space group P-31c (No. 163)
Asymmetric unit:
Pu1 0.3333 0.6667 0.2500  6 O 2.05
Mn1 0.0000 0.0000 0.0000  6 O 2.26
As1 0.3333 0.6667 0.7500  6 O 2.08
O1 0.0035 0.3503 0.1342  1 Pu 2.05, 1 As 2.08, 1 Mn 2.26